The following is a DFT calculation (PBE) of HgAsSeN2 after structural relaxation.

The structure belongs to space group P4/mmm (No. 123); the cell edges are 3.775, 3.775 and 6.464 Å and the angles 90.00°, 90.00° and 90.00°. The distinct sites, in fractional coordinates, are Hg at (0.000, 0.000, 0.000), As at (0.500, 0.500, 0.500), Se at (0.500, 0.500, 0.000) and N at (0.000, 0.500, 0.500).

The uncorrected formation energy is 1.177 eV/atom. As for the density of states at the Fermi level: 1.297 states/eV per cell. The theoretical density is 6.90 g cm⁻³. The value obtained for the distance to the lowest polymorph of the same formula is 0.0 kJ per mole of atoms.

=====

The following is a DFT calculation (PBE) of LiAsIr2 after structural relaxation.

The structure belongs to space group Cmmm (No. 65); the cell edges are 2.829, 4.714 and 8.970 Å and the angles 90.00°, 90.00° and 90.00°. The distinct sites, in fractional coordinates, are Li at (0.000, 0.000, 0.000), As at (0.000, 0.000, 0.500) and Ir at (0.000, 0.500, 0.246).

The formation energy from the elements comes out at 0.183 eV/atom. As for the density of states at the Fermi level: 8.657 states/eV per cell. The theoretical density is 12.95 g cm⁻³.

=====

The following is a DFT calculation (PBE) of LaYSc2 after structural relaxation.

The structure belongs to space group I-42d (No. 122); the cell edges are 8.483, 8.483 and 6.543 Å and the angles 90.00°, 90.00° and 90.00°. The distinct sites, in fractional coordinates, are La at (0.000, 0.000, 0.000), Y at (0.000, 0.000, 0.500) and Sc at (0.245, 0.250, 0.125).

The formation energy from the elements comes out at 0.443 eV/atom. As for the density of states at the Fermi level: 35.041 states/eV per cell. The theoretical density is 4.48 g cm⁻³. The value obtained for the distance to the lowest polymorph of the same formula is 37.8 kJ per mole of atoms.

=====

The following is a DFT calculation (PBE) of La2TbPm3Tm6 after structural relaxation.

The structure belongs to space group C2/m (No. 12); the cell edges are 6.215, 10.758 and 11.736 Å and the angles 90.00°, 100.15° and 90.00°. The distinct sites, in fractional coordinates, are La at (0.000, 0.166, 0.000), Tb at (0.000, 0.500, 0.000), Pm at (0.000, 0.000, 0.500), Pm at (0.000, 0.333, 0.500), Tm at (0.248, 0.500, 0.748) and Tm at (0.250, 0.166, 0.748).

The formation energy from the elements comes out at 0.019 eV/atom. As for the density of states at the Fermi level: 26.105 states/eV per cell. The theoretical density is 8.11 g cm⁻³.

=====

The following is a DFT calculation (PBE) of Rb2MgHgIr after structural relaxation.

The structure belongs to space group P4/mmm (No. 123); the cell edges are 6.467, 6.467 and 5.340 Å and the angles 90.00°, 90.00° and 90.00°. The distinct sites, in fractional coordinates, are Rb at (0.000, 0.500, 0.000), Mg at (0.000, 0.000, 0.500), Hg at (0.000, 0.000, 0.000) and Ir at (0.500, 0.500, 0.500).

The formation energy from the elements comes out at 0.978 eV/atom. As for the density of states at the Fermi level: 9.502 states/eV per cell. The theoretical density is 4.37 g cm⁻³.

=====

The following is a DFT calculation (PBE) of Y2CdInGe after structural relaxation.

The structure belongs to space group P4/mmm (No. 123); the cell edges are 5.742, 5.742 and 5.043 Å and the angles 90.00°, 90.00° and 90.00°. The distinct sites, in fractional coordinates, are Y at (0.000, 0.500, 0.000), Cd at (0.000, 0.000, 0.500), In at (0.500, 0.500, 0.000) and Ge at (0.500, 0.500, 0.500).

The formation energy from the elements comes out at 0.420 eV/atom. As for the density of states at the Fermi level: 6.135 states/eV per cell. The theoretical density is 4.77 g cm⁻³.